(1)
Compound: ScBePb2C
Source: Alexandria via LeMat-Bulk
Functional: PBE
Structure: optimized geometry

Lattice parameters (Å, degrees): 4.9861 4.3575 4.9861 90.00 90.00 90.00
Fractional positions:
Be 0.5000 0.5000 0.5000
Pb 0.5000 0.0000 0.0000
C 0.0000 0.0000 0.0000
Sc 0.0000 0.5000 0.0000
Pb 0.0000 0.0000 0.5000

Results
Symmetry: P4/mmm (123)
Crystal system: tetragonal

***

(2)
Compound: Sc2BePbC
Source: Alexandria via LeMat-Bulk
Functional: PBE
Structure: optimized geometry

Lattice parameters (Å, degrees): 4.7433 4.7433 3.6376 90.00 90.00 90.00
Fractional positions:
Be 0.0000 0.0000 0.5000
Sc 0.0000 0.5000 0.0000
Sc 0.5000 0.0000 0.0000
Pb 0.5000 0.5000 0.5000
C 0.0000 0.0000 0.0000

Results
Symmetry: P4/mmm (123)
Crystal system: tetragonal

***

(3)
Compound: SrBePbC2
Source: Alexandria via LeMat-Bulk
Functional: PBE
Structure: optimized geometry

Lattice parameters (Å, degrees): 4.7602 4.4965 4.7602 90.00 90.00 90.00
Last column: magnetic moment on the atom in μB.
Fractional positions:
Sr 0.5000 0.5000 0.5000  0.00
C 0.0000 0.0000 0.5000  0.08
Pb 0.0000 0.0000 0.0000  0.00
Be 0.0000 0.5000 0.0000  -0.01
C 0.5000 0.0000 0.0000  0.12

Results
Symmetry: P4/mmm (123)
Crystal system: tetragonal

***

(4)
Compound: Ta2BePbC
Source: Alexandria via LeMat-Bulk
Functional: PBE
Structure: optimized geometry

Lattice parameters (Å, degrees): 4.5483 3.5888 4.5483 90.00 90.00 90.00
Fractional positions:
Ta 0.5000 0.0000 0.0000
Ta 0.0000 0.0000 0.5000
C 0.0000 0.0000 0.0000
Pb 0.5000 0.5000 0.5000
Be 0.0000 0.5000 0.0000

Results
Symmetry: P4/mmm (123)
Crystal system: tetragonal

***

(5)
Compound: TaBePbC2
Source: Alexandria via LeMat-Bulk
Functional: PBE
Structure: optimized geometry

Lattice parameters (Å, degrees): 4.2148 6.0446 4.2148 90.00 90.00 90.00
Fractional positions:
Ta 0.0000 0.0000 0.0000
C 0.0000 0.0000 0.5000
C 0.5000 0.0000 0.0000
Pb 0.0000 0.5000 0.0000
Be 0.5000 0.5000 0.5000

Results
Symmetry: P4/mmm (123)
Crystal system: tetragonal

***

(6)
Compound: TiBePb2C
Source: Alexandria via LeMat-Bulk
Functional: PBE
Structure: optimized geometry

Lattice parameters (Å, degrees): 5.4392 3.2049 5.4392 90.00 90.00 90.00
Fractional positions:
Pb 0.0000 0.0000 0.5000
Pb 0.5000 0.0000 0.0000
Ti 0.5000 0.5000 0.5000
C 0.0000 0.5000 0.0000
Be 0.0000 0.0000 0.0000

Results
Symmetry: P4/mmm (123)
Crystal system: tetragonal

***

(7)
Compound: TiBePbC2
Source: Alexandria via LeMat-Bulk
Functional: PBE
Structure: optimized geometry

Lattice parameters (Å, degrees): 4.4539 4.4132 4.4539 90.00 90.00 90.00
Fractional positions:
Pb 0.0000 0.0000 0.0000
Be 0.0000 0.5000 0.0000
C 0.0000 0.0000 0.5000
C 0.5000 0.0000 0.0000
Ti 0.5000 0.5000 0.5000

Results
Symmetry: P4/mmm (123)
Crystal system: tetragonal

***

(8)
Compound: BePd2C
Source: Alexandria via LeMat-Bulk
Functional: PBE
Structure: optimized geometry

Lattice parameters (Å, degrees): 5.0257 5.0257 5.8197 64.42 64.42 90.00
Fractional positions:
C 0.0000 0.0000 0.0000
Be 0.2500 0.7500 0.5000
Pd 0.3750 0.3318 0.7500
Be 0.5000 0.5000 0.0000
C 0.7500 0.2500 0.5000
Pd 0.0818 0.6250 0.2500
Pd 0.6682 0.1250 0.2500
Pd 0.8750 0.9182 0.7500

Results
Symmetry: I-42d (122)
Energy above the most stable polymorph in this dataset, meV per atom: 0
Crystal system: tetragonal

***

In the order shown, the computed energy values come out to -4.578; -6.219; -3.529; -7.805; -5.781; -4.909; -4.024; -5.159 eV/atom.
In the order shown, the computed formation energy values come out to 0.762; -0.355; 1.984; 0.267; 1.766; 0.744; 2.731; 0.675 eV per atom.